This record from Alexandria describes crystalline TaAg2Ge at its relaxed geometry. The functional is PBE. Values from VASP.

M_tot: 0.000 μB per cell
Raw total energy: -19.92 eV per formula unit
Energy of formation from the pure elements: 0.56 eV per atom

```
&SYSTEM
  ibrav = 0, nat = 8, ntyp = 3
/
ATOMIC_SPECIES
Ge 72.64 Ge.upf
Ag 107.87 Ag.upf
Ta 180.95 Ta.upf
CELL_PARAMETERS angstrom
-4.5762 0.6803 5.8896
-5.2635 -3.8904 -3.6403
-3.9421 -3.8851 2.1477
ATOMIC_POSITIONS crystal
Ge 0.5000 0.5000 0.0000
Ge 0.2500 0.7500 0.5000
Ag 0.6024 0.1250 0.2500
Ag 0.1476 0.6250 0.2500
Ag 0.3750 0.3976 0.7500
Ag 0.8750 0.8524 0.7500
Ta 0.0000 0.0000 0.0000
Ta 0.7500 0.2500 0.5000
```